Record 1
A geometry-optimized AlAgRu2I structure. Source: the Alexandria database, functional GGA-PBE.

Values from the calculation:
Density of states at the Fermi level ... 4.41 states/eV per cell
Energy ... -0.127 hartree per atom
M_tot ... 4.759 Bohr magnetons per cell

```
AlAgRu2I
1.0
-2.177 3.828 2.526
-3.621 0.440 -3.787
-2.968 -3.307 2.454
Ag Ru I Al
1 2 1 1
Direct
0.000 0.000 0.000
0.500 0.000 0.000
0.000 0.000 0.500
0.000 0.500 0.000
0.500 0.500 0.500
```

Record 2
A geometry-optimized Pr3Al2CdPd9 structure. Source: the Alexandria database, functional GGA-PBE.

Values from the calculation:
Density of states at the Fermi level ... 4.51 states/eV per cell
Energy relative to the elements ... -0.555 eV per atom
Energy ... -0.191 hartree per atom
M_tot ... 0.000 Bohr magnetons per cell

```
Pr3Al2CdPd9
1.0
5.812 0.000 0.000
-2.906 5.033 0.000
0.000 0.000 11.214
Al Pr Pd Cd
2 3 9 1
Direct
0.667 0.333 0.841
0.333 0.667 0.159
0.667 0.333 0.373
0.000 0.000 0.000
0.333 0.667 0.627
0.675 0.837 0.308
0.837 0.675 0.692
0.500 0.000 0.000
0.163 0.837 0.308
0.500 0.500 0.000
0.000 0.500 0.000
0.163 0.325 0.308
0.325 0.163 0.692
0.837 0.163 0.692
0.000 0.000 0.500
```

Record 3
A geometry-optimized LiBAs3 structure. Source: the Alexandria database, functional GGA-PBE.

Values from the calculation:
Density of states at the Fermi level ... 2.89 states/eV per cell
Energy relative to the elements ... 0.550 eV per atom
Energy ... -0.145 hartree per atom
M_tot ... 0.000 Bohr magnetons per cell

```
LiBAs3
1.0
-3.126 -3.093 -0.801
-0.090 -1.036 4.348
-3.194 3.056 0.662
As B Li
3 1 1
Direct
0.500 0.000 0.000
0.000 0.000 0.500
0.000 0.500 0.000
0.000 0.000 0.000
0.500 0.500 0.500
```

Record 4
A geometry-optimized NaPa2O6 structure. Source: the Alexandria database, functional GGA-PBE.

Values from the calculation:
Density of states at the Fermi level ... 2.87 states/eV per cell
Energy ... -0.316 hartree per atom
M_tot ... 0.000 Bohr magnetons per cell

```
NaPa2O6
1.0
3.788 0.000 0.000
0.000 3.788 0.000
-1.894 -1.894 8.514
O Na Pa
6 1 2
Direct
0.403 0.903 0.806
0.597 0.097 0.194
0.250 0.750 0.500
0.750 0.250 0.500
0.097 0.597 0.194
0.903 0.403 0.806
0.000 0.000 0.000
0.336 0.336 0.673
0.664 0.664 0.327
```

Record 5
A geometry-optimized Cr3MoP structure. Source: the Alexandria database, functional GGA-PBE.

Values from the calculation:
Density of states at the Fermi level ... 2.39 states/eV per cell
Energy relative to the elements ... 1.548 eV per atom
Energy ... -0.275 hartree per atom
M_tot ... 8.760 Bohr magnetons per cell

```
Cr3MoP
1.0
4.656 0.000 0.000
0.000 4.656 0.000
0.000 0.000 4.656
P Cr Mo
1 3 1
Direct
0.500 0.500 0.500
0.000 0.000 0.500
0.500 0.000 0.000
0.000 0.500 0.000
0.000 0.000 0.000
```

Record 6
A geometry-optimized AcIn2Cu structure. Source: the Alexandria database, functional GGA-PBE.

Values from the calculation:
Density of states at the Fermi level ... 5.30 states/eV per cell
Energy relative to the elements ... -0.347 eV per atom
Energy ... -0.138 hartree per atom
M_tot ... 0.000 Bohr magnetons per cell

```
AcIn2Cu
1.0
4.486 0.000 0.000
0.000 4.554 -1.112
0.000 0.100 10.293
Ac In Cu
2 4 2
Direct
0.000 0.139 0.279
0.000 0.861 0.721
0.500 0.710 0.420
0.000 0.500 0.000
0.500 0.000 0.000
0.500 0.290 0.580
0.500 0.578 0.157
0.500 0.422 0.843
```